# YNi2Rh, relaxed, DFT GGA-PBEsol
data_YNi2Rh
_chemical_formula_sum 'Y2 Ni4 Rh2'
_space_group_name_H-M_alt 'I -4 m 2'
_space_group_IT_number 119
_space_group_name_Hall 'I -4 -2'
_cell_length_a 3.912
_cell_length_b 3.912
_cell_length_c 7.604
_cell_angle_alpha 90.00
_cell_angle_beta 90.00
_cell_angle_gamma 90.00
loop_
_atom_site_label
_atom_site_fract_x
_atom_site_fract_y
_atom_site_fract_z
Y1 0.000 0.000 0.000
Ni1 0.000 0.000 0.500
Ni2 0.000 0.500 0.250
Rh1 0.000 0.500 0.750
# magnetization: 0.001 μB/atom
# E_form: -189 meV/atom